(1)
DFT (PBE) results for an optimized crystal structure of CaIBr2.

```
data_CaIBr2
_symmetry_space_group_name_H-M 'P 1'
_symmetry_Int_Tables_number 1
_symmetry_space_group_name_Hall 'P 1'
_cell_length_a 4.371
_cell_length_b 5.684
_cell_length_c 8.047
_cell_angle_alpha 70.18
_cell_angle_beta 84.05
_cell_angle_gamma 73.27
loop_
_atom_site_label
_atom_site_type_symbol
_atom_site_fract_x
_atom_site_fract_y
_atom_site_fract_z
Ca1 Ca 0.000 0.000 0.000
I1 I 0.003 0.608 0.774
Br1 Br 0.497 0.888 0.236
Br2 Br 0.503 0.126 0.736
```

The volume comes out at 180.11 Å³/cell. The calculation puts the uncorrected formation energy at -1.311 eV per atom. The calculated total energy is -12.14 eV/cell.

(2)
DFT (PBE) results for an optimized crystal structure of Ca3IBr.

```
data_Ca3IBr
_symmetry_space_group_name_H-M 'P m -3 m'
_symmetry_Int_Tables_number 221
_symmetry_space_group_name_Hall '-P 4 2 3'
_cell_length_a 5.795
_cell_length_b 5.795
_cell_length_c 5.795
_cell_angle_alpha 90.00
_cell_angle_beta 90.00
_cell_angle_gamma 90.00
loop_
_atom_site_label
_atom_site_type_symbol
_atom_site_fract_x
_atom_site_fract_y
_atom_site_fract_z
Ca1 Ca 0.000 0.000 0.500
I1 I 0.500 0.500 0.500
Br1 Br 0.000 0.000 0.000
```

The volume comes out at 194.56 Å³/cell. The calculation puts the uncorrected formation energy at -0.359 eV per atom. The calculated total energy is -11.02 eV/cell.

(3)
DFT (PBE) results for an optimized crystal structure of CaIBr.

```
data_CaIBr
_symmetry_space_group_name_H-M 'P 1 21/m 1'
_symmetry_Int_Tables_number 11
_symmetry_space_group_name_Hall '-P 2yb'
_cell_length_a 7.645
_cell_length_b 4.417
_cell_length_c 7.944
_cell_angle_alpha 90.00
_cell_angle_beta 109.31
_cell_angle_gamma 90.00
loop_
_atom_site_label
_atom_site_type_symbol
_atom_site_fract_x
_atom_site_fract_y
_atom_site_fract_z
Ca1 Ca 0.242 0.250 0.498
I1 I 0.499 0.250 0.259
Br1 Br 0.015 0.750 0.297
```

The volume comes out at 253.16 Å³/cell. The calculation puts the uncorrected formation energy at -1.832 eV per atom. The calculated total energy is -21.44 eV/cell.

(4)
DFT (PBE) results for an optimized crystal structure of CaI3Br.

```
data_CaI3Br
_symmetry_space_group_name_H-M 'P m -3 m'
_symmetry_Int_Tables_number 221
_symmetry_space_group_name_Hall '-P 4 2 3'
_cell_length_a 6.127
_cell_length_b 6.127
_cell_length_c 6.127
_cell_angle_alpha 90.00
_cell_angle_beta 90.00
_cell_angle_gamma 90.00
loop_
_atom_site_label
_atom_site_type_symbol
_atom_site_fract_x
_atom_site_fract_y
_atom_site_fract_z
Ca1 Ca 0.000 0.000 0.000
I1 I 0.000 0.000 0.500
Br1 Br 0.500 0.500 0.500
```

The volume comes out at 230.00 Å³/cell. The calculation puts the uncorrected formation energy at -0.547 eV per atom. The calculated total energy is -11.06 eV/cell.

(5)
DFT (PBE) results for an optimized crystal structure of CaIBr.

```
data_CaIBr
_symmetry_space_group_name_H-M 'C 1 2/m 1'
_symmetry_Int_Tables_number 12
_symmetry_space_group_name_Hall '-C 2y'
_cell_length_a 16.667
_cell_length_b 4.400
_cell_length_c 7.631
_cell_angle_alpha 90.00
_cell_angle_beta 113.99
_cell_angle_gamma 90.00
loop_
_atom_site_label
_atom_site_type_symbol
_atom_site_fract_x
_atom_site_fract_y
_atom_site_fract_z
Ca1 Ca 0.000 0.000 0.000
Ca2 Ca 0.000 0.500 0.500
I1 I 0.122 0.000 0.774
Br1 Br 0.097 0.500 0.255
```

The volume comes out at 511.27 Å³/cell. The calculation puts the uncorrected formation energy at -1.831 eV per atom. The calculated total energy is -42.87 eV/cell.

(6)
DFT (PBE) results for an optimized crystal structure of CaIBr2.

```
data_CaIBr2
_symmetry_space_group_name_H-M 'C 1 m 1'
_symmetry_Int_Tables_number 8
_symmetry_space_group_name_Hall 'C -2y'
_cell_length_a 14.512
_cell_length_b 6.055
_cell_length_c 9.328
_cell_angle_alpha 90.00
_cell_angle_beta 123.09
_cell_angle_gamma 90.00
loop_
_atom_site_label
_atom_site_type_symbol
_atom_site_fract_x
_atom_site_fract_y
_atom_site_fract_z
Ca1 Ca 0.000 0.000 0.000
Ca2 Ca 0.240 0.000 0.638
I1 I 0.480 0.500 0.472
I2 I 0.487 0.000 0.930
Br1 Br 0.132 0.000 0.831
Br2 Br 0.206 0.000 0.313
Br3 Br 0.276 0.500 0.686
Br4 Br 0.356 0.500 0.131
```

The volume comes out at 686.75 Å³/cell. The calculation puts the uncorrected formation energy at -1.393 eV per atom. The calculated total energy is -49.88 eV/cell.